Record 1
CsP2AuSe8 after structural relaxation, computed with GGA-PBE.

a b c (Å): 5.9177 5.9177 12.7150
angles (deg): 76.54 76.54 60.00
Element x y z (fractional)
Se  0.9063  0.6294  0.1401
Se  0.2043  0.2043  0.3872
Se  0.7957  0.7957  0.6128
Se  0.6758  0.0937  0.8599
Se  0.0937  0.3706  0.8599
Se  0.3706  0.6758  0.8599
Se  0.6294  0.3242  0.1401
Se  0.3242  0.9063  0.1401
P  0.2628  0.2628  0.2116
P  0.7372  0.7372  0.7884
Au  0.0000  0.0000  0.0000
Cs  0.5000  0.5000  0.5000

Properties
* magnetic moment: 0.00 μB per formula unit
* DOS at the Fermi energy: 0.5163 states/eV per atom
* ΔE_f (raw): -122.1 meV per atom
* density: 4.6 g cm⁻³

=====

Record 2
CsVP2Au after structural relaxation, computed with GGA-PBE.

a b c (Å): 5.4320 5.5154 5.4320
angles (deg): 90.00 90.00 90.00
Last column: magnetic moment on the atom in μB.
Element x y z (fractional)
V  0.5000  0.5000  0.5000  0.17
Cs  0.0000  0.0000  0.0000  -0.03
P  0.5000  0.0000  0.0000  -0.14
P  0.0000  0.0000  0.5000  -0.14
Au  0.0000  0.5000  0.0000  -0.03

Properties
* DFT formation energy: 2399 meV per atom
* magnetic moment: 0.47 μB per formula unit
* DOS at the Fermi energy: 1.8847 states/eV per atom
* density: 4.5 g cm⁻³

=====

Record 3
CsZrP2Au after structural relaxation, computed with GGA-PBE.

a b c (Å): 4.9809 11.4418 4.9809
angles (deg): 90.00 90.00 90.00
Element x y z (fractional)
P  0.0000  0.0000  0.5000
P  0.5000  0.0000  0.0000
Zr  0.0000  0.0000  0.0000
Au  0.5000  0.5000  0.5000
Cs  0.0000  0.5000  0.0000

Properties
* DFT formation energy: 313 meV per atom
* magnetic moment: 0.00 μB per formula unit
* DOS at the Fermi energy: 0.4138 states/eV per atom
* density: 2.8 g cm⁻³

=====

Record 4
CsPaAu after structural relaxation, computed with GGA-PBE.

a b c (Å): 4.8070 4.8085 13.2672
angles (deg): 101.22 90.00 119.99
Element x y z (fractional)
Pa  0.3464  0.6928  0.5365
Pa  0.6536  0.3072  0.4635
Cs  0.7772  0.5544  0.8087
Cs  0.2228  0.4456  0.1913
Au  0.9589  0.9179  0.3855
Au  0.0411  0.0821  0.6145

Properties
* DFT formation energy: 38 meV per atom
* magnetic moment: 0.02 μB per formula unit
* DOS at the Fermi energy: 1.4018 states/eV per atom
* density: 7.2 g cm⁻³

=====

Record 5
Cs2PaAuS4 after structural relaxation, computed with GGA-PBE.

a b c (Å): 7.1964 7.1964 7.1964
angles (deg): 100.26 114.26 114.26
Element x y z (fractional)
Cs  0.5000  0.7500  0.2500
Cs  0.0000  0.0000  0.0000
Au  0.0000  0.5000  0.5000
S  0.4093  0.8714  0.7520
S  0.8806  0.5380  0.1286
S  0.1194  0.2480  0.6574
S  0.5907  0.3426  0.4620
Pa  0.5000  0.2500  0.7500

Properties
* magnetic moment: 0.00 μB per formula unit
* ΔE_f (raw): -1009.3 meV per atom
* density: 4.8 g cm⁻³

=====

Record 6
Cs3PaAu2S6 after structural relaxation, computed with GGA-PBE.

a b c (Å): 7.6162 7.6162 9.1525
angles (deg): 90.00 90.00 120.00
Element x y z (fractional)
Cs  0.6667  0.3333  0.3035
Cs  0.3333  0.6667  0.6965
Cs  0.0000  0.0000  0.0000
S  0.1542  0.8458  0.3155
S  0.1542  0.3084  0.3155
S  0.6916  0.8458  0.3155
S  0.3084  0.1542  0.6845
S  0.8458  0.6916  0.6845
S  0.8458  0.1542  0.6845
Pa  0.0000  0.0000  0.5000
Au  0.3333  0.6667  0.3133
Au  0.6667  0.3333  0.6867

Properties
* magnetic moment: 0.00 μB per formula unit
* DOS at the Fermi energy: 0.6413 states/eV per atom
* ΔE_f (raw): -908.0 meV per atom
* density: 4.4 g cm⁻³

=====

Record 7
CsPaAu2S4 after structural relaxation, computed with GGA-PBE.

a b c (Å): 6.0579 7.2154 7.2154
angles (deg): 75.53 65.18 65.18
Element x y z (fractional)
Au  0.8457  0.6543  0.6543
Au  0.1543  0.3457  0.3457
Pa  0.5000  0.5000  0.5000
S  0.5399  0.4958  0.8417
S  0.4601  0.1583  0.5042
S  0.1226  0.8417  0.4958
S  0.8774  0.5042  0.1583
Cs  0.0000  0.0000  0.0000

Properties
* magnetic moment: 0.00 μB per formula unit
* ΔE_f (raw): -861.0 meV per atom
* density: 5.7 g cm⁻³

=====

Record 8
Cs3Pa3AuSe8 after structural relaxation, computed with GGA-PBE.

a b c (Å): 8.9945 8.2354 9.3333
angles (deg): 111.30 90.00 123.10
Last column: magnetic moment on the atom in μB.
Element x y z (fractional)
Cs  0.0000  0.0000  0.0000  0.00
Cs  0.5000  0.5000  0.0000  0.00
Cs  0.0000  0.5000  0.0000  0.00
Se  0.7418  0.0674  0.2957  -0.03
Se  0.2017  0.4033  0.6638  -0.02
Se  0.3256  0.0674  0.2957  -0.03
Se  0.2691  0.5382  0.3120  -0.03
Se  0.2582  0.9326  0.7043  -0.03
Se  0.6744  0.9326  0.7043  -0.03
Se  0.7983  0.5967  0.3362  -0.02
Se  0.7309  0.4618  0.6880  -0.03
Pa  0.5000  0.0000  0.5000  0.97
Pa  0.0000  0.5000  0.5000  0.95
Pa  0.5000  0.5000  0.5000  0.95
Au  0.0000  0.0000  0.5000  -0.01

Properties
* magnetic moment: 3.01 μB per formula unit
* DOS at the Fermi energy: 0.8998 states/eV per atom
* ΔE_f (raw): -1186.5 meV per atom
* density: 6.1 g cm⁻³

=====

Record 9
CsPaAu2Se4 after structural relaxation, computed with GGA-PBE.

a b c (Å): 5.8806 7.5537 7.5537
angles (deg): 78.51 67.09 67.09
Element x y z (fractional)
Se  0.4690  0.1487  0.5101
Se  0.8721  0.5101  0.1487
Se  0.5310  0.4899  0.8513
Se  0.1279  0.8513  0.4899
Cs  0.0000  0.0000  0.0000
Pa  0.5000  0.5000  0.5000
Au  0.1491  0.3509  0.3509
Au  0.8509  0.6491  0.6491

Properties
* magnetic moment: 0.00 μB per formula unit
* ΔE_f (raw): -769.4 meV per atom
* density: 6.3 g cm⁻³

=====

Record 10
Cs2PaAu2Se4 after structural relaxation, computed with GGA-PBE.

a b c (Å): 4.2754 8.6591 8.0995
angles (deg): 107.70 105.30 90.00
Last column: magnetic moment on the atom in μB.
Element x y z (fractional)
Se  0.5133  0.7776  0.0266  -0.02
Se  0.4867  0.2224  0.9734  -0.02
Se  0.8121  0.8155  0.6241  -0.01
Se  0.1879  0.1845  0.3759  -0.01
Cs  0.1361  0.5773  0.2723  0.00
Cs  0.8639  0.4227  0.7277  0.00
Au  0.6761  0.9917  0.3522  0.00
Au  0.3239  0.0083  0.6478  0.00
Pa  0.0000  0.0000  0.0000  0.90

Properties
* magnetic moment: 0.95 μB per formula unit
* DOS at the Fermi energy: 0.5222 states/eV per atom
* ΔE_f (raw): -928.4 meV per atom
* density: 7.3 g cm⁻³

=====

Record 11
Cs2PaAu2Se6 after structural relaxation, computed with GGA-PBE.

a b c (Å): 7.9417 7.8376 8.5684
angles (deg): 116.87 90.00 120.44
Element x y z (fractional)
Se  0.2634  0.5268  0.2556
Se  0.7366  0.4732  0.7444
Se  0.2823  0.0183  0.7522
Se  0.2640  0.9817  0.2478
Se  0.7360  0.0183  0.7522
Se  0.7177  0.9817  0.2478
Cs  0.7350  0.4700  0.2045
Cs  0.2650  0.5300  0.7955
Au  0.9168  0.8337  0.7351
Au  0.0832  0.1663  0.2649
Pa  0.5000  0.0000  0.5000

Properties
* magnetic moment: 0.00 μB per formula unit
* DOS at the Fermi energy: 0.6533 states/eV per atom
* ΔE_f (raw): -720.0 meV per atom
* density: 5.8 g cm⁻³

=====

Record 12
CsPaTe4Au after structural relaxation, computed with GGA-PBE.

a b c (Å): 7.7321 6.3263 10.7408
angles (deg): 90.00 108.94 90.00
Last column: magnetic moment on the atom in μB.
Element x y z (fractional)
Te  0.4327  0.7500  0.5917  -0.02
Te  0.0248  0.5077  0.6869  -0.01
Te  0.5673  0.2500  0.4083  -0.02
Te  0.9752  0.4923  0.3131  -0.01
Te  0.9752  0.0077  0.3131  -0.01
Te  0.0248  0.9923  0.6869  -0.01
Te  0.4800  0.7500  0.1632  -0.01
Te  0.5200  0.2500  0.8368  -0.01
Au  0.7190  0.2500  0.6759  -0.01
Au  0.2810  0.7500  0.3241  -0.01
Cs  0.2114  0.2500  0.0530  0.00
Cs  0.7886  0.7500  0.9470  0.00
Pa  0.7254  0.7500  0.4454  0.35
Pa  0.2746  0.2500  0.5546  0.35

Properties
* magnetic moment: 0.28 μB per formula unit
* DOS at the Fermi energy: 0.3181 states/eV per atom
* ΔE_f (raw): -713.7 meV per atom
* density: 7.2 g cm⁻³

=====

Record 13
Cs2PaTe6Au2 after structural relaxation, computed with GGA-PBE.

a b c (Å): 8.5025 8.3940 8.8777
angles (deg): 117.92 90.00 120.43
Element x y z (fractional)
Au  0.0814  0.1628  0.2567
Au  0.9186  0.8372  0.7433
Te  0.7133  0.9722  0.2321
Te  0.2577  0.5154  0.2364
Te  0.7411  0.0278  0.7679
Te  0.2867  0.0278  0.7679
Te  0.2589  0.9722  0.2321
Te  0.7423  0.4846  0.7636
Cs  0.2536  0.5071  0.7643
Cs  0.7464  0.4929  0.2357
Pa  0.5000  0.0000  0.5000

Properties
* magnetic moment: 0.00 μB per formula unit
* DOS at the Fermi energy: 0.6019 states/eV per atom
* ΔE_f (raw): -518.1 meV per atom
* density: 6.0 g cm⁻³

=====

Record 14
Cs2PaTe4Au2 after structural relaxation, computed with GGA-PBE.

a b c (Å): 4.6430 8.4599 10.2683
angles (deg): 115.48 103.07 90.00
Last column: magnetic moment on the atom in μB.
Element x y z (fractional)
Pa  0.0000  0.0000  0.0000  1.01
Cs  0.1473  0.6682  0.2946  0.00
Cs  0.8527  0.3318  0.7054  0.00
Au  0.6232  0.0393  0.2464  0.00
Au  0.3768  0.9607  0.7536  0.00
Te  0.4918  0.7374  0.9836  -0.02
Te  0.8214  0.7869  0.6428  -0.01
Te  0.5082  0.2626  0.0164  -0.02
Te  0.1786  0.2131  0.3572  -0.01

Properties
* magnetic moment: 1.00 μB per formula unit
* DOS at the Fermi energy: 0.5589 states/eV per atom
* ΔE_f (raw): -783.5 meV per atom
* density: 6.6 g cm⁻³

=====

Record 15
CsPa4Te12Au3 after structural relaxation, computed with GGA-PBE.

a b c (Å): 9.6781 9.6781 9.6781
angles (deg): 109.47 109.47 109.47
Last column: magnetic moment on the atom in μB.
Element x y z (fractional)
Te  0.1415  0.3165  0.8250  -0.01
Te  0.6835  0.8250  0.5086  -0.01
Te  0.8250  0.5086  0.6835  -0.01
Te  0.1750  0.8585  0.6835  -0.01
Te  0.5086  0.6835  0.8250  -0.01
Te  0.8585  0.6835  0.1750  -0.01
Te  0.3165  0.8250  0.1415  -0.01
Te  0.6835  0.1750  0.8585  -0.01
Te  0.8250  0.1415  0.3165  -0.01
Te  0.3165  0.1750  0.4914  -0.01
Te  0.4914  0.3165  0.1750  -0.01
Te  0.1750  0.4914  0.3165  -0.01
Au  0.0000  0.5000  0.5000  0.00
Au  0.5000  0.0000  0.5000  0.00
Au  0.5000  0.5000  0.0000  0.00
Cs  0.0000  0.0000  0.0000  0.00
Pa  0.0000  0.0000  0.5000  0.22
Pa  0.5000  0.0000  0.0000  0.22
Pa  0.0000  0.5000  0.0000  0.22
Pa  0.5000  0.5000  0.5000  0.22

Properties
* magnetic moment: 0.70 μB per formula unit
* ΔE_f (raw): -547.0 meV per atom
* density: 7.6 g cm⁻³

=====

Record 16
Cs3Pa3Te8Au after structural relaxation, computed with GGA-PBE.

a b c (Å): 9.6040 8.7072 9.8602
angles (deg): 110.08 90.00 123.47
Last column: magnetic moment on the atom in μB.
Element x y z (fractional)
Te  0.7445  0.0636  0.2917  -0.04
Te  0.6809  0.9364  0.7083  -0.04
Te  0.2683  0.5366  0.3066  -0.03
Te  0.2555  0.9364  0.7083  -0.04
Te  0.7317  0.4634  0.6934  -0.03
Te  0.1991  0.3982  0.6679  -0.02
Te  0.3191  0.0636  0.2917  -0.04
Te  0.8009  0.6018  0.3321  -0.02
Pa  0.5000  0.0000  0.5000  0.98
Pa  0.5000  0.5000  0.5000  0.99
Pa  0.0000  0.5000  0.5000  0.99
Au  0.0000  0.0000  0.5000  -0.01
Cs  0.5000  0.5000  0.0000  0.00
Cs  0.0000  0.0000  0.0000  0.00
Cs  0.0000  0.5000  0.0000  0.00

Properties
* magnetic moment: 3.01 μB per formula unit
* DOS at the Fermi energy: 0.9824 states/eV per atom
* ΔE_f (raw): -818.1 meV per atom
* density: 6.1 g cm⁻³

=====

Record 17
CsPb6Au4 after structural relaxation, computed with GGA-PBE.

a b c (Å): 4.6243 8.8784 8.8784
angles (deg): 120.00 90.00 90.00
Element x y z (fractional)
Au  0.5000  0.7957  0.5914
Au  0.5000  0.7957  0.2043
Au  0.0000  0.3333  0.6667
Au  0.5000  0.4086  0.2043
Pb  0.0000  0.5336  0.0672
Pb  0.5000  0.2016  0.7984
Pb  0.5000  0.2016  0.4032
Pb  0.5000  0.5968  0.7984
Pb  0.0000  0.5336  0.4664
Pb  0.0000  0.9328  0.4664
Cs  0.0000  0.0000  0.0000

Properties
* DFT formation energy: -130 meV per atom
* magnetic moment: 0.00 μB per formula unit
* DOS at the Fermi energy: 0.4236 states/eV per atom
* density: 11.4 g cm⁻³

=====

Record 18
Cs6Pb3Au after structural relaxation, computed with GGA-PBE.

a b c (Å): 7.5286 11.5609 11.4496
angles (deg): 93.46 90.00 90.00
Element x y z (fractional)
Pb  0.1546  0.9836  0.7646
Pb  0.3454  0.4836  0.2646
Pb  0.6546  0.5164  0.7354
Pb  0.8454  0.0164  0.2354
Pb  0.5000  0.5000  0.0000
Pb  0.0000  0.0000  0.5000
Cs  0.0691  0.6750  0.9260
Cs  0.7905  0.6574  0.2625
Cs  0.2905  0.8426  0.2375
Cs  0.1020  0.6655  0.5690
Cs  0.6020  0.8345  0.9310
Cs  0.7095  0.1574  0.7625
Cs  0.2095  0.3426  0.7375
Cs  0.4309  0.1750  0.4260
Cs  0.8980  0.3345  0.4310
Cs  0.3980  0.1655  0.0690
Cs  0.5691  0.8250  0.5740
Cs  0.9309  0.3250  0.0740
Au  0.0000  0.0000  0.0000
Au  0.5000  0.5000  0.5000

Properties
* DFT formation energy: -101 meV per atom
* magnetic moment: 0.00 μB per formula unit
* DOS at the Fermi energy: 0.8139 states/eV per atom
* density: 5.4 g cm⁻³

=====

Record 19
CsPbAu after structural relaxation, computed with GGA-PBE.

a b c (Å): 7.1455 4.9587 6.9057
angles (deg): 111.04 83.89 90.00
Element x y z (fractional)
Au  0.9055  0.7960  0.5921
Au  0.0945  0.2040  0.4079
Pb  0.8599  0.4094  0.8189
Pb  0.1401  0.5906  0.1811
Cs  0.3601  0.8733  0.7466
Cs  0.6399  0.1267  0.2534

Properties
* DFT formation energy: -234 meV per atom
* magnetic moment: 0.00 μB per formula unit
* DOS at the Fermi energy: 0.4553 states/eV per atom
* density: 7.9 g cm⁻³

=====

Record 20
CsPbAu2 after structural relaxation, computed with GGA-PBE.

a b c (Å): 3.9219 3.9219 8.0781
angles (deg): 90.00 90.00 90.00
Element x y z (fractional)
Au  0.0000  0.0000  0.8171
Au  0.0000  0.0000  0.1829
Cs  0.5000  0.5000  0.5000
Pb  0.5000  0.5000  0.0000

Properties
* DFT formation energy: -91 meV per atom
* magnetic moment: 0.00 μB per formula unit
* DOS at the Fermi energy: 0.6532 states/eV per atom
* density: 9.8 g cm⁻³

=====

Record 21
Cs3PbAu after structural relaxation, computed with GGA-PBE.

a b c (Å): 6.8211 6.8211 6.8211
angles (deg): 90.00 90.00 90.00
Last column: magnetic moment on the atom in μB.
Element x y z (fractional)
Au  0.0000  0.0000  0.0000  0.00
Cs  0.5000  0.0000  0.0000  0.02
Cs  0.0000  0.0000  0.5000  0.01
Cs  0.0000  0.5000  0.0000  0.01
Pb  0.5000  0.5000  0.5000  0.49

Properties
* DFT formation energy: -22 meV per atom
* magnetic moment: 2.00 μB per formula unit
* DOS at the Fermi energy: 0.8304 states/eV per atom
* E above lowest polymorph: 0.1397 eV per atom
* density: 4.2 g cm⁻³

=====

Record 22
CsPb12Au7 after structural relaxation, computed with GGA-PBE.

a b c (Å): 8.2877 9.3078 9.3077
angles (deg): 68.42 72.73 107.27
Element x y z (fractional)
Au  0.5128  0.3457  0.6536
Au  0.1665  0.6536  0.0007
Au  0.8335  0.3464  0.9993
Au  0.8329  0.9993  0.6543
Au  0.4872  0.6543  0.3464
Au  0.1671  0.0007  0.3457
Au  0.5000  0.0000  0.0000
Pb  0.9995  0.2604  0.2611
Pb  0.0005  0.7396  0.7389
Pb  0.5355  0.6842  0.0005
Pb  0.7390  0.4784  0.2604
Pb  0.2606  0.2611  0.4784
Pb  0.5360  0.0005  0.3153
Pb  0.2610  0.5216  0.7396
Pb  0.1487  0.6847  0.3158
Pb  0.4645  0.3158  0.9995
Pb  0.4640  0.9995  0.6847
Pb  0.7394  0.7389  0.5216
Pb  0.8513  0.3153  0.6842
Cs  0.0000  0.0000  0.0000

Properties
* DFT formation energy: -63 meV per atom
* magnetic moment: 0.00 μB per formula unit
* DOS at the Fermi energy: 0.3350 states/eV per atom
* density: 11.7 g cm⁻³